Here is an optimized crystal structure of NbAlIO2 from the Alexandria database. Energies are from PBE-GGA.

Lattice parameters (Å, degrees): 4.0859 4.0859 5.9557 90.00 90.00 90.00
With the nearest neighbours (Å) after each atom.
Space group P4/mmm (No. 123)
One atom of each set of equivalent atoms:
1 Nb 0.0000 0.0000 0.0000 (multiplicity 1)  4 O 2.04
2 Al 0.5000 0.5000 0.5000 (multiplicity 1)  4 I 2.89
3 I 0.0000 0.0000 0.5000 (multiplicity 1)  4 Al 2.89, 2 Nb 2.98
4 O 0.0000 0.5000 0.0000 (multiplicity 2)  2 Nb 2.04

Values from the calculation:
Raw total energy = -5.99 eV per atom
Crystal system = tetragonal
Excess energy over the best structure of this formula in the dataset = 0.000 eV/f.u.
Calculated volume = 19.89 Å³ per atom
Magnetization = 0.54 μB/f.u.